Below is an optimized crystal structure of YNpOs4, with properties calculated at the PBE-GGA level.

Structure (POSCAR):
```
YNpOs4
1.0
5.3488 0.0000 0.0000
2.6744 4.6322 0.0000
2.6744 1.5441 4.3672
Os Np Y
4 1 1
direct
0.6250 0.6250 0.1249
0.1249 0.6250 0.6250
0.6250 0.6250 0.6250
0.6250 0.1249 0.6250
0.2500 0.2500 0.2500
0.0000 0.0000 0.0000
```

Computed properties:
Its total magnetic moment is 2.91 μB/f.u. Its symmetry is F-43m. The formation energy comes out at -109 meV/atom.